# 1
The following is a DFT calculation (PBE-GGA) of a relaxed Ho3Al2Au crystal.

Cell and atoms, written as POSCAR:
```
Ho3Al2Au
1.0
-3.208 -1.279 0.996
1.597 -2.871 1.458
0.827 5.207 9.349
Ho Al Au
3 2 1
Direct
0.000 0.000 0.000
0.000 0.000 0.664
0.000 0.000 0.336
0.500 0.500 0.835
0.500 0.500 0.165
0.500 0.500 0.500
```

Values from the calculation:
Total magnetic moment, μB per formula unit: 0.0
Calculated total energy, eV per atom: -4.620
Calculated density, g/cm³: 8.93
E_form, eV per atom: -0.5373

=====

# 2
The following is a DFT calculation (PBE-GGA) of a relaxed Li2ScMn crystal.

Cell and atoms, written as POSCAR:
```
Li2ScMn
1.0
-4.006 -2.378 3.378
-2.561 -4.736 2.029
1.621 -1.317 4.039
Li Mn Sc
2 1 1
Direct
0.021 0.021 0.979
0.479 0.479 0.521
0.750 0.750 0.750
0.250 0.250 0.250
```

Values from the calculation:
Total magnetic moment, μB per formula unit: 2.6
Calculated total energy, eV per atom: -4.611
Calculated density, g/cm³: 2.67
E_form, eV per atom: 0.2209

=====

# 3
The following is a DFT calculation (PBE-GGA) of a relaxed SiCSe3 crystal.

Cell and atoms, written as POSCAR:
```
SiCSe3
1.0
-2.715 2.095 -2.790
0.895 -2.999 -3.122
-3.373 -2.482 1.418
Si C Se
1 1 3
Direct
0.500 0.500 0.500
0.000 0.000 0.000
0.000 0.500 0.000
0.000 0.000 0.500
0.500 0.000 0.000
```

Values from the calculation:
Total magnetic moment, μB per formula unit: 0.0
Calculated total energy, eV per atom: -3.875
Calculated density, g/cm³: 5.32
Raw formation energy, meV/atom: 1145

=====

# 4
The following is a DFT calculation (PBE-GGA) of a relaxed Tb3Nd6In crystal.

Cell and atoms, written as POSCAR:
```
Tb3Nd6In
1.0
6.452 0.000 0.000
0.000 11.200 -2.625
0.000 -5.058 10.332
Tb Nd In
6 12 2
Direct
0.484 0.960 0.704
0.984 0.704 0.960
0.083 0.414 0.586
0.583 0.586 0.414
0.984 0.040 0.296
0.484 0.296 0.040
0.058 0.740 0.625
0.558 0.625 0.740
0.337 0.468 0.903
0.837 0.903 0.468
0.309 0.982 0.018
0.784 0.288 0.712
0.284 0.712 0.288
0.809 0.018 0.982
0.337 0.097 0.532
0.837 0.532 0.097
0.058 0.375 0.260
0.558 0.260 0.375
0.051 0.154 0.846
0.551 0.846 0.154
```

Values from the calculation:
Total magnetic moment, μB per formula unit: 0.0
Calculated total energy, eV per atom: -4.523
Calculated density, g/cm³: 7.32
E_form, eV per atom: 0.0010

=====

Q: Which value of calculated density does entry 3 give?
A: 5.32 g/cm³

=====

Q: Which of these has the highest calculated density?
A: Ho3Al2Au

=====

Q: Among the records above, which one has the highest total magnetic moment?
A: Li2ScMn

=====

What did the first record say?
The following is a DFT calculation (PBE-GGA) of a relaxed Ho3Al2Au crystal.

Cell and atoms, written as POSCAR:
```
Ho3Al2Au
1.0
-3.208 -1.279 0.996
1.597 -2.871 1.458
0.827 5.207 9.349
Ho Al Au
3 2 1
Direct
0.000 0.000 0.000
0.000 0.000 0.664
0.000 0.000 0.336
0.500 0.500 0.835
0.500 0.500 0.165
0.500 0.500 0.500
```

Values from the calculation:
Total magnetic moment, μB per formula unit: 0.0
Calculated total energy, eV per atom: -4.620
Calculated density, g/cm³: 8.93
E_form, eV per atom: -0.5373